1.
{"formula": "Sb2PRuSe", "functional": "GGA-PBEsol", "state": "relaxed", "lattice": [[4.4523, 0.0000, 0.0000], [0.0000, 5.3215, 0.0000], [0.0000, 0.0000, 5.3215]], "species": ["Se", "P", "Sb", "Sb", "Ru"], "fractional_positions": [[0.0000, 0.0000, 0.0000], [0.5000, 0.5000, 0.5000], [0.0000, 0.0000, 0.5000], [0.0000, 0.5000, 0.0000], [0.5000, 0.0000, 0.0000]], "raw_formation_energy_ev_per_atom": 1.202, "dos_ef_per_ev_cell": 5.26, "crystal_system": "tetragonal"}

=====

2.
{"formula": "Ba2NF", "functional": "GGA-PBEsol", "state": "relaxed", "lattice": [[-1.6438, 1.3701, -5.2214], [3.4092, -3.9685, -2.1146], [-5.1487, -2.5439, 4.0026]], "species": ["F", "F", "Ba", "Ba", "Ba", "Ba", "N", "N"], "fractional_positions": [[0.5000, 0.5000, 0.0000], [0.7500, 0.2500, 0.5000], [0.4813, 0.9813, 0.9625], [0.0187, 0.5187, 0.0375], [0.7687, 0.7687, 0.5375], [0.2313, 0.2313, 0.4625], [0.0000, 0.0000, 0.0000], [0.2500, 0.7500, 0.5000]], "raw_formation_energy_ev_per_atom": -1.731, "dos_ef_per_ev_cell": 0.16, "relative_energy_mev_per_atom": 44, "crystal_system": "tetragonal"}

=====

3.
{"formula": "BeMoPt2", "functional": "GGA-PBEsol", "state": "relaxed", "lattice": [[-2.2562, -1.5334, -0.2644], [1.3817, -2.1884, 0.9019], [-1.8089, 1.5397, 6.5069]], "species": ["Pt", "Pt", "Mo", "Be"], "fractional_positions": [[0.0000, 0.0000, 0.2097], [0.0000, 0.0000, 0.7903], [0.5000, 0.5000, 0.5000], [0.5000, 0.5000, 0.0000]], "dos_ef_per_ev_cell": 1.78, "formation_energy_ev_per_atom": -0.55, "crystal_system": "tetragonal"}

=====

4.
{"formula": "BiSbRu3", "functional": "GGA-PBEsol", "state": "relaxed", "lattice": [[-3.6681, 0.8473, -2.9450], [-0.1751, -4.6438, -1.1180], [-3.0594, -0.7501, 3.5948]], "species": ["Bi", "Ru", "Ru", "Ru", "Sb"], "fractional_positions": [[0.5000, 0.5000, 0.5000], [0.0000, 0.0000, 0.5000], [0.5000, 0.0000, 0.0000], [0.0000, 0.5000, 0.0000], [0.0000, 0.0000, 0.0000]], "raw_formation_energy_ev_per_atom": 1.458, "dos_ef_per_ev_cell": 8.25, "crystal_system": "cubic"}

=====

5.
{"formula": "RbMgBiAs2", "functional": "GGA-PBEsol", "state": "relaxed", "lattice": [[-5.4496, -0.5983, 0.7871], [0.8111, -5.3449, 1.5531], [0.5918, 1.6435, 5.3466]], "species": ["Mg", "As", "As", "Bi", "Rb"], "fractional_positions": [[0.5000, 0.0000, 0.0000], [0.0000, 0.0000, 0.5000], [0.0000, 0.5000, 0.0000], [0.0000, 0.0000, 0.0000], [0.5000, 0.5000, 0.5000]], "dos_ef_per_ev_cell": 5.04, "formation_energy_ev_per_atom": 0.41, "crystal_system": "tetragonal"}

=====

6.
{"formula": "CaY2", "functional": "GGA-PBEsol", "state": "relaxed", "lattice": [[3.6176, 0.0000, 0.0000], [-1.8088, 6.6068, -0.0136], [0.0000, -2.2651, 8.3023]], "species": ["Y", "Y", "Y", "Y", "Ca", "Ca"], "fractional_positions": [[0.3345, 0.6689, 0.6662], [0.7330, 0.4660, 0.9322], [0.3820, 0.7640, 0.2822], [0.0501, 0.1001, 0.6150], [0.0040, 0.0081, 0.9975], [0.6631, 0.3262, 0.3402]], "dos_ef_per_ev_cell": 9.78, "formation_energy_ev_per_atom": 0.09, "relative_energy_mev_per_atom": 24, "crystal_system": "monoclinic"}

=====

Copy entry 4 word for word.
{"formula": "BiSbRu3", "functional": "GGA-PBEsol", "state": "relaxed", "lattice": [[-3.6681, 0.8473, -2.9450], [-0.1751, -4.6438, -1.1180], [-3.0594, -0.7501, 3.5948]], "species": ["Bi", "Ru", "Ru", "Ru", "Sb"], "fractional_positions": [[0.5000, 0.5000, 0.5000], [0.0000, 0.0000, 0.5000], [0.5000, 0.0000, 0.0000], [0.0000, 0.5000, 0.0000], [0.0000, 0.0000, 0.0000]], "raw_formation_energy_ev_per_atom": 1.458, "dos_ef_per_ev_cell": 8.25, "crystal_system": "cubic"}